# 1
Computed, not measured: a relaxed CrCdO2F crystal at the GGA+U level of DFT.

Unit cell a=3.953 b=3.953 c=3.828 alpha=90.00 beta=90.00 gamma=90.00
Element x y z (fractional)
Cr 0.000 0.000 0.000
Cd 0.500 0.500 0.500
O 0.000 0.500 0.000
O 0.500 0.000 0.000
F 0.000 0.000 0.500

Values from the calculation:
- crystal system = tetragonal
- DFT total energy (eV per cell) = -27.86
- space-group type = P4/mmm, No. 123

# 2
Computed, not measured: a relaxed Na5CrO4 crystal at the GGA+U level of DFT.

Unit cell a=7.269 b=7.632 c=5.375 alpha=90.00 beta=90.00 gamma=90.00
Element x y z (fractional)
Na 0.012 0.056 0.242
Na 0.012 0.444 0.242
Na 0.250 0.750 0.323
Na 0.488 0.056 0.242
Na 0.488 0.444 0.242
Na 0.512 0.556 0.758
Na 0.512 0.944 0.758
Na 0.750 0.250 0.677
Na 0.988 0.556 0.758
Na 0.988 0.944 0.758
Cr 0.250 0.250 0.717
Cr 0.750 0.750 0.283
O 0.026 0.250 0.901
O 0.250 0.022 0.538
O 0.250 0.478 0.538
O 0.474 0.250 0.901
O 0.526 0.750 0.099
O 0.750 0.522 0.462
O 0.750 0.978 0.462
O 0.974 0.750 0.099

Values from the calculation:
- crystal system = orthorhombic
- DFT total energy (eV per cell) = -96.16
- space-group type = Pmmn, No. 59